Compound: AlFe4O6
Source: the Alexandria database
Functional: PBE+U
Structure: optimized geometry

**Crystal system**: monoclinic
**Energy**: -6.739 eV/atom

Geometry as CIF:
```
data_AlFe4O6
_chemical_formula_sum 'Al4 Fe16 O24'
_space_group_name_H-M_alt 'C 1 c 1'
_space_group_IT_number 9
_cell_length_a 9.782
_cell_length_b 5.481
_cell_length_c 10.580
_cell_angle_alpha 90.00
_cell_angle_beta 108.08
_cell_angle_gamma 90.00
loop_
_space_group_symop_operation_xyz
'x,y,z'
'x,-y,z+1/2'
'x+1/2,y+1/2,z'
'x+1/2,-y+1/2,z+1/2'
loop_
_atom_site_label
_atom_site_type_symbol
_atom_site_fract_x
_atom_site_fract_y
_atom_site_fract_z
Al1 Al 0.000 0.227 0.000
Fe1 Fe 0.012 0.184 0.683
Fe2 Fe 0.227 0.328 0.284
Fe3 Fe 0.257 0.176 0.571
Fe4 Fe 0.413 0.198 0.885
O1 O 0.111 0.188 0.397
O2 O 0.156 0.115 0.116
O3 O 0.237 0.318 0.735
O4 O 0.369 0.482 0.523
O5 O 0.434 0.005 0.563
O6 O 0.445 0.190 0.330
```